No. 1
The following is a DFT calculation (PBE) of a relaxed structure of Cu3Ag5.

Computed properties:
For the calculated total energy, the calculation gives -3.07 eV/atom. Its energy relative to the lowest polymorph listed for this composition is 55.1 meV per atom. The formation energy comes out at 2.1 kcal/mol of atoms.

```
data_Cu3Ag5
_symmetry_space_group_name_H-M 'C m m m'
_symmetry_Int_Tables_number 65
_symmetry_space_group_name_Hall '-C 2 2'
_cell_length_a 5.691
_cell_length_b 11.318
_cell_length_c 3.898
_cell_angle_alpha 90.00
_cell_angle_beta 90.00
_cell_angle_gamma 90.00
loop_
_atom_site_label
_atom_site_type_symbol
_atom_site_fract_x
_atom_site_fract_y
_atom_site_fract_z
_atom_site_occupancy
Cu1 Cu 0.000 0.000 0.000 1
Cu2 Cu 0.000 0.247 0.000 1
Ag1 Ag 0.000 0.500 0.000 1
Ag2 Ag 0.245 0.128 0.500 1
```

***

No. 2
The following is a DFT calculation (PBE) of a relaxed structure of Cu3Ag5.

Computed properties:
For the calculated total energy, the calculation gives -3.07 eV/atom. Its energy relative to the lowest polymorph listed for this composition is 53.7 meV per atom. The formation energy comes out at 2.1 kcal/mol of atoms.

```
data_Cu3Ag5
_symmetry_space_group_name_H-M 'P 4/m m m'
_symmetry_Int_Tables_number 123
_symmetry_space_group_name_Hall '-P 4 2'
_cell_length_a 5.701
_cell_length_b 5.701
_cell_length_c 3.869
_cell_angle_alpha 90.00
_cell_angle_beta 90.00
_cell_angle_gamma 90.00
loop_
_atom_site_label
_atom_site_type_symbol
_atom_site_fract_x
_atom_site_fract_y
_atom_site_fract_z
_atom_site_occupancy
Cu1 Cu 0.000 0.000 0.000 1
Cu2 Cu 0.000 0.500 0.000 1
Ag1 Ag 0.244 0.244 0.500 1
Ag2 Ag 0.500 0.500 0.000 1
```

***

No. 3
The following is a DFT calculation (PBE) of a relaxed structure of CuAg.

Computed properties:
For the calculated total energy, the calculation gives -3.17 eV/atom. The formation energy comes out at 2.2 kcal/mol of atoms.

```
data_CuAg
_symmetry_space_group_name_H-M 'C 1 m 1'
_symmetry_Int_Tables_number 8
_cell_length_a 8.890
_cell_length_b 3.822
_cell_length_c 8.806
_cell_angle_alpha 90.00
_cell_angle_beta 90.50
_cell_angle_gamma 90.00
loop_
_symmetry_equiv_pos_as_xyz
'x,y,z'
'x,-y,z'
'x+1/2,y+1/2,z'
'x+1/2,-y+1/2,z'
loop_
_atom_site_label
_atom_site_type_symbol
_atom_site_fract_x
_atom_site_fract_y
_atom_site_fract_z
_atom_site_occupancy
Cu1 Cu 0.000 0.000 0.000 1
Cu2 Cu 0.012 0.500 0.533 1
Cu3 Cu 0.101 0.000 0.721 1
Cu4 Cu 0.310 0.000 0.097 1
Cu5 Cu 0.415 0.000 0.818 1
Ag1 Ag 0.102 0.500 0.203 1
Ag2 Ag 0.200 0.000 0.422 1
Ag3 Ag 0.206 0.500 0.911 1
Ag4 Ag 0.316 0.500 0.622 1
Ag5 Ag 0.403 0.500 0.307 1
```

***

No. 4
The following is a DFT calculation (PBE) of a relaxed structure of CuAg.

Computed properties:
For the calculated total energy, the calculation gives -3.19 eV/atom. The formation energy comes out at 2.0 kcal/mol of atoms.

```
data_CuAg
_symmetry_space_group_name_H-M 'P 1'
_symmetry_Int_Tables_number 1
_cell_length_a 2.805
_cell_length_b 2.805
_cell_length_c 26.508
_cell_angle_alpha 90.06
_cell_angle_beta 90.05
_cell_angle_gamma 119.96
loop_
_symmetry_equiv_pos_as_xyz
'x,y,z'
loop_
_atom_site_label
_atom_site_type_symbol
_atom_site_fract_x
_atom_site_fract_y
_atom_site_fract_z
_atom_site_occupancy
Cu1 Cu 0.000 0.000 0.000 1
Cu2 Cu 0.011 0.997 0.220 1
Cu3 Cu 0.324 0.665 0.073 1
Cu4 Cu 0.355 0.674 0.293 1
Cu5 Cu 0.663 0.329 0.146 1
Cu6 Cu 0.688 0.334 0.366 1
Ag1 Ag 0.010 0.007 0.449 1
Ag2 Ag 0.283 0.645 0.542 1
Ag3 Ag 0.315 0.657 0.822 1
Ag4 Ag 0.651 0.318 0.635 1
Ag5 Ag 0.666 0.310 0.916 1
Ag6 Ag 0.989 0.980 0.729 1
```

***

No. 5
The following is a DFT calculation (PBE) of a relaxed structure of CuAg.

Computed properties:
For the calculated total energy, the calculation gives -3.18 eV/atom. The formation energy comes out at 2.2 kcal/mol of atoms.

```
data_CuAg
_symmetry_space_group_name_H-M 'C 1 2/m 1'
_symmetry_Int_Tables_number 12
_cell_length_a 4.677
_cell_length_b 14.264
_cell_length_c 4.674
_cell_angle_alpha 90.00
_cell_angle_beta 106.19
_cell_angle_gamma 90.00
loop_
_symmetry_equiv_pos_as_xyz
'x,y,z'
'-x,-y,-z'
'-x,y,-z'
'x,-y,z'
'x+1/2,y+1/2,z'
'-x+1/2,-y+1/2,-z'
'-x+1/2,y+1/2,-z'
'x+1/2,-y+1/2,z'
loop_
_atom_site_label
_atom_site_type_symbol
_atom_site_fract_x
_atom_site_fract_y
_atom_site_fract_z
_atom_site_occupancy
Cu1 Cu 0.000 0.000 0.000 1
Cu2 Cu 0.000 0.091 0.500 1
Cu3 Cu 0.000 0.409 0.000 1
Ag1 Ag 0.000 0.189 0.000 1
Ag2 Ag 0.000 0.305 0.500 1
Ag3 Ag 0.000 0.500 0.500 1
```

***

No. 6
The following is a DFT calculation (PBE) of a relaxed structure of Cu8Ag.

Computed properties:
For the calculated total energy, the calculation gives -3.57 eV/atom. Its energy relative to the lowest polymorph listed for this composition is 11.5 meV per atom. The formation energy comes out at 1.1 kcal/mol of atoms.

```
data_Cu8Ag
_symmetry_space_group_name_H-M 'C 1 2/m 1'
_symmetry_Int_Tables_number 12
_cell_length_a 13.362
_cell_length_b 2.655
_cell_length_c 7.622
_cell_angle_alpha 90.00
_cell_angle_beta 123.72
_cell_angle_gamma 90.00
loop_
_symmetry_equiv_pos_as_xyz
'x,y,z'
'-x,-y,-z'
'-x,y,-z'
'x,-y,z'
'x+1/2,y+1/2,z'
'-x+1/2,-y+1/2,-z'
'-x+1/2,y+1/2,-z'
'x+1/2,-y+1/2,z'
loop_
_atom_site_label
_atom_site_type_symbol
_atom_site_fract_x
_atom_site_fract_y
_atom_site_fract_z
_atom_site_occupancy
Cu1 Cu 0.059 0.000 0.350 1
Cu2 Cu 0.111 0.500 0.671 1
Cu3 Cu 0.173 0.000 0.002 1
Cu4 Cu 0.226 0.500 0.338 1
Ag1 Ag 0.000 0.500 0.000 1
```

***

No. 7
The following is a DFT calculation (PBE) of a relaxed structure of Cu3Ag2.

Computed properties:
For the calculated total energy, the calculation gives -3.27 eV/atom. Its energy relative to the lowest polymorph listed for this composition is 52.2 meV per atom. The formation energy comes out at 2.2 kcal/mol of atoms.

```
data_Cu3Ag2
_symmetry_space_group_name_H-M 'P 1 m 1'
_symmetry_Int_Tables_number 6
_cell_length_a 6.064
_cell_length_b 3.845
_cell_length_c 6.147
_cell_angle_alpha 90.00
_cell_angle_beta 90.80
_cell_angle_gamma 90.00
loop_
_symmetry_equiv_pos_as_xyz
'x,y,z'
'x,-y,z'
loop_
_atom_site_label
_atom_site_type_symbol
_atom_site_fract_x
_atom_site_fract_y
_atom_site_fract_z
_atom_site_occupancy
Cu1 Cu 0.000 0.000 0.000 1
Cu2 Cu 0.084 0.500 0.718 1
Cu3 Cu 0.194 0.000 0.400 1
Cu4 Cu 0.290 0.500 0.098 1
Cu5 Cu 0.715 0.500 0.899 1
Cu6 Cu 0.816 0.000 0.625 1
Ag1 Ag 0.388 0.000 0.806 1
Ag2 Ag 0.492 0.500 0.506 1
Ag3 Ag 0.600 0.000 0.199 1
Ag4 Ag 0.915 0.500 0.310 1
```

***

No. 8
The following is a DFT calculation (PBE) of a relaxed structure of CuAg.

Computed properties:
For the calculated total energy, the calculation gives -3.17 eV/atom. The formation energy comes out at 2.4 kcal/mol of atoms.

```
data_CuAg
_symmetry_space_group_name_H-M 'R -3 m'
_symmetry_Int_Tables_number 166
_symmetry_space_group_name_Hall '-R 3 2"'
_cell_length_a 2.8132
_cell_length_b 2.8132
_cell_length_c 65.7313
_cell_angle_alpha 90.00
_cell_angle_beta 90.00
_cell_angle_gamma 120.00
loop_
_atom_site_label
_atom_site_type_symbol
_atom_site_fract_x
_atom_site_fract_y
_atom_site_fract_z
_atom_site_occupancy
Cu1 Cu 0.0000 0.0000 0.0000 1
Cu2 Cu 0.0000 0.0000 0.0959 1
Cu3 Cu 0.0000 0.0000 0.4002 1
Ag1 Ag 0.0000 0.0000 0.2041 1
Ag2 Ag 0.0000 0.0000 0.3000 1
Ag3 Ag 0.0000 0.0000 0.5000 1
```

***

No. 9
The following is a DFT calculation (PBE) of a relaxed structure of Cu3Ag2.

Computed properties:
For the calculated total energy, the calculation gives -3.27 eV/atom. Its energy relative to the lowest polymorph listed for this composition is 51.4 meV per atom. The formation energy comes out at 2.2 kcal/mol of atoms.

```
data_Cu3Ag2
_symmetry_space_group_name_H-M 'C 1 2/m 1'
_symmetry_Int_Tables_number 12
_cell_length_a 9.186
_cell_length_b 2.761
_cell_length_c 6.676
_cell_angle_alpha 90.00
_cell_angle_beta 123.01
_cell_angle_gamma 90.00
loop_
_symmetry_equiv_pos_as_xyz
'x,y,z'
'-x,-y,-z'
'-x,y,-z'
'x,-y,z'
'x+1/2,y+1/2,z'
'-x+1/2,-y+1/2,-z'
'-x+1/2,y+1/2,-z'
'x+1/2,-y+1/2,z'
loop_
_atom_site_label
_atom_site_type_symbol
_atom_site_fract_x
_atom_site_fract_y
_atom_site_fract_z
_atom_site_occupancy
Cu1 Cu 0.000 0.000 0.000 1
Cu2 Cu 0.110 0.500 0.383 1
Ag1 Ag 0.184 0.000 0.778 1
```

***

No. 10
The following is a DFT calculation (PBE) of a relaxed structure of Cu3Ag2.

Computed properties:
For the calculated total energy, the calculation gives -3.27 eV/atom. Its energy relative to the lowest polymorph listed for this composition is 44.3 meV per atom. The formation energy comes out at 2.0 kcal/mol of atoms.

```
data_Cu3Ag2
_symmetry_space_group_name_H-M 'P 1 2/m 1'
_symmetry_Int_Tables_number 10
_cell_length_a 4.576
_cell_length_b 2.776
_cell_length_c 11.260
_cell_angle_alpha 90.00
_cell_angle_beta 90.28
_cell_angle_gamma 90.00
loop_
_symmetry_equiv_pos_as_xyz
'x,y,z'
'-x,-y,-z'
'-x,y,-z'
'x,-y,z'
loop_
_atom_site_label
_atom_site_type_symbol
_atom_site_fract_x
_atom_site_fract_y
_atom_site_fract_z
_atom_site_occupancy
Cu1 Cu 0.000 0.000 0.000 1
Cu2 Cu 0.157 0.500 0.180 1
Cu3 Cu 0.236 0.000 0.366 1
Cu4 Cu 0.500 0.500 0.000 1
Ag1 Ag 0.254 0.500 0.578 1
Ag2 Ag 0.340 0.000 0.802 1
```

***

No. 11
The following is a DFT calculation (PBE) of a relaxed structure of Cu3Ag5.

Computed properties:
For the calculated total energy, the calculation gives -3.07 eV/atom. Its energy relative to the lowest polymorph listed for this composition is 54.7 meV per atom. The formation energy comes out at 2.1 kcal/mol of atoms.

```
data_Cu3Ag5
_symmetry_space_group_name_H-M 'I -4 m 2'
_symmetry_Int_Tables_number 119
_symmetry_space_group_name_Hall 'I -4 -2'
_cell_length_a 3.974
_cell_length_b 3.974
_cell_length_c 16.003
_cell_angle_alpha 90.00
_cell_angle_beta 90.00
_cell_angle_gamma 90.00
loop_
_atom_site_label
_atom_site_type_symbol
_atom_site_fract_x
_atom_site_fract_y
_atom_site_fract_z
_atom_site_occupancy
Cu1 Cu 0.000 0.000 0.000 1
Cu2 Cu 0.000 0.500 0.620 1
Ag1 Ag 0.000 0.000 0.250 1
Ag2 Ag 0.000 0.000 0.500 1
Ag3 Ag 0.000 0.500 0.121 1
```

***

No. 12
The following is a DFT calculation (PBE) of a relaxed structure of Cu3Ag7.

Computed properties:
For the calculated total energy, the calculation gives -3.01 eV/atom. Its energy relative to the lowest polymorph listed for this composition is 49.2 meV per atom. The formation energy comes out at 1.8 kcal/mol of atoms.

```
data_Cu3Ag7
_symmetry_space_group_name_H-M 'R -3 m'
_symmetry_Int_Tables_number 166
_symmetry_space_group_name_Hall '-R 3 2"'
_cell_length_a 2.8828
_cell_length_b 2.8828
_cell_length_c 67.6850
_cell_angle_alpha 90.00
_cell_angle_beta 90.00
_cell_angle_gamma 120.00
loop_
_atom_site_label
_atom_site_type_symbol
_atom_site_fract_x
_atom_site_fract_y
_atom_site_fract_z
_atom_site_occupancy
Cu1 Cu 0.0000 0.0000 0.0000 1
Cu2 Cu 0.0000 0.0000 0.1986 1
Ag1 Ag 0.0000 0.0000 0.1031 1
Ag2 Ag 0.0000 0.0000 0.3019 1
Ag3 Ag 0.0000 0.0000 0.4005 1
Ag4 Ag 0.0000 0.0000 0.5000 1
```